# 1
LiCuAuBr2 | Alexandria | meta-GGA SCAN | single point on PBEsol structure; space-group type = P4/mmm (123); DOS(E_F) = 0.49 states/eV/atom; formation energy from raw total energies = 1.6 eV per formula unit
1.0
-1.8069 4.3085 -0.9258
0.2013 -1.0212 -5.1454
-4.8530 -1.9911 0.2053
Au Cu Br Li
1 1 2 1
direct
0.0000 0.0000 0.0000 Au
0.5000 0.5000 0.5000 Cu
0.0000 0.0000 0.5000 Br
0.0000 0.5000 0.0000 Br
0.5000 0.0000 0.0000 Li

***

# 2
Sr2Tl2Pb | Alexandria | meta-GGA SCAN | single point on PBEsol structure; energy of formation = -0.5396 eV per atom; space-group type = P4/mbm (127); DOS(E_F) = 0.58 states/eV/atom
1.0
4.9798 0.0000 0.0000
0.0000 8.1032 0.0000
0.0000 0.0000 8.1032
Pb Sr Tl
2 4 4
direct
0.0000 0.0000 0.0000 Pb
0.0000 0.5000 0.5000 Pb
0.5000 0.1744 0.6744 Sr
0.5000 0.6744 0.8256 Sr
0.5000 0.8256 0.3256 Sr
0.5000 0.3256 0.1744 Sr
0.0000 0.3701 0.8701 Tl
0.0000 0.8701 0.6299 Tl
0.0000 0.6299 0.1299 Tl
0.0000 0.1299 0.3701 Tl

***

# 3
ZrTl2P | Alexandria | meta-GGA SCAN | single point on PBEsol structure; energy of formation = 0.3798 eV per atom; space-group type = Cmmm (65); DOS(E_F) = 0.82 states/eV/atom
1.0
-0.9511 -2.4338 -1.7952
1.7681 -1.1358 2.3737
-7.4531 -0.8739 5.1335
P Tl Zr
1 2 1
direct
0.5000 0.5000 0.0000 P
0.0000 0.0000 0.2369 Tl
0.0000 0.0000 0.7631 Tl
0.5000 0.5000 0.5000 Zr

***

# 4
K5Na3Ta6Nb2O24 | Alexandria | meta-GGA SCAN | single point on PBEsol structure; space-group type = Pm (6); DOS(E_F) = 0.00 states/eV/atom; formation energy from raw total energies = -112.8 eV per formula unit
1.0
-1.7457 -7.6470 1.4115
3.3243 -2.0387 -6.9336
7.0302 -0.9284 3.6436
K Na Ta Nb O
5 3 6 2 24
direct
0.2514 0.0000 0.2495 K
0.2518 0.0000 0.7484 K
0.2516 0.5000 0.2493 K
0.2517 0.5000 0.7485 K
0.7504 0.5000 0.7487 K
0.7582 0.0000 0.2405 Na
0.7564 0.0000 0.7420 Na
0.7580 0.5000 0.2401 Na
0.0004 0.2495 0.9983 Ta
0.5034 0.2494 0.9961 Ta
0.0027 0.2496 0.4974 Ta
0.0004 0.7505 0.9983 Ta
0.5034 0.7506 0.9961 Ta
0.0027 0.7504 0.4974 Ta
0.5065 0.2495 0.4945 Nb
0.5065 0.7505 0.4945 Nb
0.9941 0.0000 0.0031 O
0.5024 0.0000 0.0050 O
0.9929 0.0000 0.5010 O
0.4989 0.0000 0.5034 O
0.9955 0.5000 0.0036 O
0.5016 0.5000 0.0048 O
0.9934 0.5000 0.4996 O
0.4993 0.5000 0.5026 O
0.9934 0.2493 0.2513 O
0.5013 0.2497 0.2509 O
0.9948 0.2478 0.7517 O
0.5009 0.2482 0.7536 O
0.9934 0.7507 0.2513 O
0.5013 0.7503 0.2509 O
0.9948 0.7522 0.7517 O
0.5009 0.7518 0.7536 O
0.2483 0.2494 0.0026 O
0.7490 0.2492 0.0050 O
0.2461 0.2498 0.5014 O
0.7494 0.2472 0.5021 O
0.2483 0.7506 0.0026 O
0.7490 0.7508 0.0050 O
0.2461 0.7502 0.5014 O
0.7494 0.7528 0.5021 O

***

# 5
K2TlOs | Alexandria | meta-GGA SCAN | single point on PBEsol structure; energy of formation = 1.3231 eV per atom; space-group type = Fm-3m (225); DOS(E_F) = 1.48 states/eV/atom; energy above the lowest structure with this stoichiometry = 2.59 eV/f.u.
1.0
5.4309 0.0000 0.0000
2.7154 4.7033 0.0000
2.7154 1.5678 4.4343
K Os Tl
2 1 1
direct
0.2500 0.2500 0.2500 K
0.7500 0.7500 0.7500 K
0.0000 0.0000 0.0000 Os
0.5000 0.5000 0.5000 Tl

***

# 6
HfTePt2Cl | Alexandria | meta-GGA SCAN | single point on PBEsol structure; space-group type = P4/mmm (123); DOS(E_F) = 0.68 states/eV/atom; formation energy from raw total energies = 3.4 eV per formula unit
1.0
4.8439 0.0000 0.0000
0.0000 4.8439 0.0000
0.0000 0.0000 5.3810
Te Hf Pt Cl
1 1 2 1
direct
0.0000 0.0000 0.0000 Te
0.0000 0.0000 0.5000 Hf
0.0000 0.5000 0.0000 Pt
0.5000 0.0000 0.0000 Pt
0.5000 0.5000 0.5000 Cl